Here is a crystal of KLiAg2 relaxed with PBEsol from Alexandria via LeMat-Bulk. Energies are from meta-GGA SCAN.

Cell: 4.6540 4.6603 6.3803 Å, 111.03 90.00 119.96°
With the nearest neighbours (Å) after each atom.
Fractional coordinates of all 4 atoms:
K 0.5060 0.0119 0.5154  1 Li 3.20, 1 Ag 3.35
Li 0.6885 0.3769 0.0672  6 Ag 2.74-2.80
Ag 0.9930 0.9860 0.9793  3 Ag 2.70, 3 Li 2.74
Ag 0.3126 0.6251 0.9380  3 Ag 2.70, 3 Li 2.79-2.80

Calculated values
The formation energy is -30 meV per atom. The calculation puts the excess energy over the best structure of this formula in the dataset at 7 meV/atom. The total energy is -73.57 eV/f.u.